No. 1
Computed, not measured: a geometry-optimized K3Tl5Cd2 structure at the PBE-GGA level of DFT.

Cell lengths 7.340, 10.685, 10.685 Å; angles 80.92, 69.91, 69.91 degrees
Positions (direct):
K 0.250 0.000 0.000
K 0.385 0.386 0.844
K 0.615 0.614 0.156
K 0.885 0.844 0.386
K 0.115 0.156 0.614
K 0.750 0.000 0.000
Tl 0.997 0.753 0.753
Tl 0.367 0.770 0.496
Tl 0.503 0.247 0.247
Tl 0.750 0.500 0.500
Tl 0.867 0.496 0.770
Tl 0.497 0.753 0.753
Tl 0.633 0.230 0.504
Tl 0.133 0.504 0.230
Tl 0.250 0.500 0.500
Tl 0.003 0.247 0.247
Cd 0.348 0.002 0.302
Cd 0.848 0.302 0.002
Cd 0.652 0.998 0.698
Cd 0.152 0.698 0.998

---

No. 2
Computed, not measured: a geometry-optimized K2TlCd2 structure at the PBE-GGA level of DFT.

Cell lengths 4.187, 4.187, 11.319 Å; angles 79.34, 79.34, 90.00 degrees
Positions (direct):
Cd 0.250 0.750 0.500
Cd 0.750 0.250 0.500
K 0.606 0.606 0.787
K 0.394 0.394 0.213
Tl 0.000 0.000 0.000

Output
**Offset from the most stable computed form**: 2.13 kcal/mol of atoms

---

No. 3
Computed, not measured: a geometry-optimized KTl4Cd structure at the PBE-GGA level of DFT.

Cell lengths 6.592, 6.592, 6.592 Å; angles 60.00, 60.00, 60.00 degrees
Positions (direct):
Tl 0.126 0.625 0.625
Tl 0.625 0.625 0.625
Tl 0.625 0.126 0.625
Tl 0.625 0.625 0.126
K 0.000 0.000 0.000
Cd 0.250 0.250 0.250

Output
**Offset from the most stable computed form**: 1.94 kcal/mol of atoms

---

No. 4
Computed, not measured: a geometry-optimized K2Tl2Cd3 structure at the PBE-GGA level of DFT.

Cell lengths 5.055, 9.210, 7.678 Å; angles 131.27, 109.22, 90.00 degrees
Positions (direct):
Cd 0.794 0.485 0.588
Cd 0.000 0.500 0.000
Cd 0.206 0.515 0.412
K 0.818 0.905 0.637
K 0.182 0.095 0.363
Tl 0.491 0.698 0.981
Tl 0.509 0.302 0.019

---

For reference, calculated formation energy by record: -0.045, 0.007, 0.026, -0.066 eV/atom.
For reference, size of the total moment by record: 0.00, 0.00, 0.00, 0.00 μB/cell.